#A
Compound: PdBrN
Source: the Alexandria database
Functional: PBE
Structure: relaxed

Cell lengths 3.359, 3.359, 15.281 Å; angles 90.00, 90.00, 120.00 degrees
Sites, in units of the cell vectors:
Pd: 0.000 0.000 0.000
Pd: 0.333 0.667 0.667
Pd: 0.667 0.333 0.333
Br: 0.000 0.000 0.521
Br: 0.333 0.667 0.188
Br: 0.667 0.333 0.855
N: 0.000 0.000 0.384
N: 0.333 0.667 0.051
N: 0.667 0.333 0.718

***

#B
Compound: PdBrN
Source: the Alexandria database
Functional: PBE
Structure: relaxed

Cell lengths 2.832, 3.488, 6.515 Å; angles 99.29, 94.34, 110.02 degrees
Sites, in units of the cell vectors:
Pd: 0.000 0.000 0.000
Br: 0.862 0.738 0.579
N: 0.685 0.432 0.065

***

#C
Compound: PdBrN
Source: the Alexandria database
Functional: PBE
Structure: relaxed

Cell lengths 2.784, 3.164, 7.542 Å; angles 89.60, 89.84, 81.34 degrees
Sites, in units of the cell vectors:
Pd: 0.000 0.000 0.000
Br: 0.946 0.873 0.493
N: 0.443 0.439 0.997

***

Energies, relative to the best one, in eV/atom: #A 0.000; #B 0.072; #C 0.095.